one.
Below is a relaxed SmCuOs crystal, with properties calculated at the PBE level. Values from VASP.

Quantum ESPRESSO input file:
```
&SYSTEM
  ibrav = 0, nat = 12, ntyp = 3
/
ATOMIC_SPECIES
Sm 150.36 Sm.upf
Cu 63.55 Cu.upf
Os 190.23 Os.upf
ATOMIC_POSITIONS crystal
Sm 0.0000 0.0000 0.0000
Sm 0.0000 0.5000 0.5000
Sm 0.5000 0.0000 0.5000
Sm 0.5000 0.5000 0.0000
Cu 0.2500 0.2500 0.7500
Cu 0.2500 0.7500 0.2500
Cu 0.7500 0.2500 0.2500
Cu 0.7500 0.7500 0.7500
Os 0.2500 0.2500 0.2500
Os 0.2500 0.7500 0.7500
Os 0.7500 0.2500 0.7500
Os 0.7500 0.7500 0.2500
CELL_PARAMETERS angstrom
6.4514 0.0000 0.0000
0.0000 6.4514 0.0000
0.0000 0.0000 6.4514
```

Crystal system = cubic

---

two.
Below is a relaxed SmCuOs crystal, with properties calculated at the PBE level. Values from VASP.

Quantum ESPRESSO input file:
```
&SYSTEM
  ibrav = 0, nat = 12, ntyp = 3
/
ATOMIC_SPECIES
Sm 150.36 Sm.upf
Cu 63.55 Cu.upf
Os 190.23 Os.upf
ATOMIC_POSITIONS crystal
Sm 0.0000 0.0000 0.0000
Sm 0.0000 0.5000 0.5000
Sm 0.5000 0.0000 0.5000
Sm 0.5000 0.5000 0.0000
Cu 0.0000 0.0000 0.5000
Cu 0.0000 0.5000 0.0000
Cu 0.5000 0.0000 0.0000
Cu 0.5000 0.5000 0.5000
Os 0.2500 0.2500 0.7500
Os 0.2500 0.7500 0.2500
Os 0.7500 0.2500 0.2500
Os 0.7500 0.7500 0.7500
CELL_PARAMETERS angstrom
6.3346 0.0000 0.0000
0.0000 6.3346 0.0000
0.0000 0.0000 6.3346
```

Crystal system = cubic

---

Most stable structure - two; separation to the second - 521 meV per atom.